No. 1
Below is ScWO2F at its PBEsol-relaxed geometry, with properties calculated at the SCAN level.

Values from the calculation:
Its final energy is -21.521 eV/atom.

a = 3.9084 Å, b = 3.9084 Å, c = 4.1844 Å
α = 90.00°, β = 90.00°, γ = 90.00°
Atoms (fractional coordinates):
Sc 0.0000 0.0000 0.0000
W 0.5000 0.5000 0.5000
O 0.0000 0.5000 0.5000
O 0.5000 0.0000 0.5000
F 0.5000 0.5000 0.0000


No. 2
Below is ScZnOF2 at its PBEsol-relaxed geometry, with properties calculated at the SCAN level.

Values from the calculation:
Its final energy is -10.858 eV/atom.

a = 4.0543 Å, b = 4.0543 Å, c = 4.0799 Å
α = 90.00°, β = 90.00°, γ = 90.00°
Atoms (fractional coordinates):
Sc 0.0000 0.0000 0.0000
Zn 0.5000 0.5000 0.5000
O 0.0000 0.0000 0.5000
F 0.0000 0.5000 0.0000
F 0.5000 0.0000 0.0000


No. 3
Below is SeO2F2 at its PBEsol-relaxed geometry, with properties calculated at the SCAN level.

Values from the calculation:
For the relative energy among the computed polymorphs, the calculation gives 2035 meV/atom.

a = 3.5347 Å, b = 3.5347 Å, c = 4.2179 Å
α = 90.00°, β = 90.00°, γ = 90.00°
Atoms (fractional coordinates):
Se 0.0000 0.0000 0.0000
O 0.0000 0.5000 0.5000
O 0.5000 0.0000 0.5000
F 0.5000 0.5000 0.0000
F 0.5000 0.5000 0.5000


No. 4
Below is SeO2F2 at its PBEsol-relaxed geometry, with properties calculated at the SCAN level.

Values from the calculation:
For the relative energy among the computed polymorphs, the calculation gives 670 meV/atom.

a = 4.0932 Å, b = 4.0932 Å, c = 3.7378 Å
α = 90.00°, β = 90.00°, γ = 90.00°
Atoms (fractional coordinates):
Se 0.0000 0.0000 0.0000
O 0.0000 0.0000 0.5000
O 0.5000 0.5000 0.5000
F 0.0000 0.5000 0.0000
F 0.5000 0.0000 0.0000


No. 5
Below is SeOF3 at its PBEsol-relaxed geometry, with properties calculated at the SCAN level.

Values from the calculation:
Its final energy is -7.727 eV/atom.

a = 4.0701 Å, b = 4.0701 Å, c = 4.0701 Å
α = 90.00°, β = 90.00°, γ = 90.00°
Atoms (fractional coordinates):
Se 0.0000 0.0000 0.0000
O 0.5000 0.5000 0.5000
F 0.0000 0.0000 0.5000
F 0.0000 0.5000 0.0000
F 0.5000 0.0000 0.0000


No. 6
Below is SeOF2 at its PBEsol-relaxed geometry, with properties calculated at the SCAN level.

Values from the calculation:
Its final energy is -9.771 eV/atom.

a = 5.4651 Å, b = 7.7324 Å, c = 5.9599 Å
α = 90.00°, β = 90.00°, γ = 90.00°
Atoms (fractional coordinates):
Se 0.0394 0.1776 0.0000
Se 0.4606 0.1776 0.5000
Se 0.5394 0.8224 0.0000
Se 0.9606 0.8224 0.5000
O 0.2346 0.0878 0.6404
O 0.2654 0.0878 0.1404
O 0.7346 0.9122 0.6404
O 0.7654 0.9122 0.1404
F 0.1279 0.7339 0.7300
F 0.1616 0.3819 0.9407
F 0.3384 0.3819 0.4407
F 0.3721 0.7339 0.2300
F 0.6279 0.2661 0.7300
F 0.6616 0.6181 0.9407
F 0.8384 0.6181 0.4407
F 0.8721 0.2661 0.2300


No. 7
Below is SeO2F2 at its PBEsol-relaxed geometry, with properties calculated at the SCAN level.

Values from the calculation:
For the relative energy among the computed polymorphs, the calculation gives 0 meV/atom.

a = 5.6120 Å, b = 5.6120 Å, c = 10.9821 Å
α = 90.00°, β = 90.00°, γ = 90.00°
Atoms (fractional coordinates):
Se 0.1254 0.1254 0.0000
Se 0.3746 0.6254 0.2500
Se 0.6254 0.3746 0.7500
Se 0.8746 0.8746 0.5000
O 0.0783 0.3519 0.9148
O 0.1481 0.5783 0.1648
O 0.3519 0.0783 0.0852
O 0.4217 0.8519 0.3352
O 0.5783 0.1481 0.8352
O 0.6481 0.9217 0.5852
O 0.8519 0.4217 0.6648
O 0.9217 0.6481 0.4148
F 0.0813 0.8737 0.9121
F 0.1263 0.9187 0.5879
F 0.3737 0.4187 0.6621
F 0.4187 0.3737 0.3379
F 0.5813 0.6263 0.8379
F 0.6263 0.5813 0.1621
F 0.8737 0.0813 0.0879
F 0.9187 0.1263 0.4121


No. 8
Below is SnSeO2F at its PBEsol-relaxed geometry, with properties calculated at the SCAN level.

Values from the calculation:
Its final energy is -14.998 eV/atom.

a = 3.9399 Å, b = 3.9399 Å, c = 4.5985 Å
α = 90.00°, β = 90.00°, γ = 90.00°
Atoms (fractional coordinates):
Sn 0.0000 0.0000 0.0000
Se 0.5000 0.5000 0.5000
O 0.0000 0.5000 0.5000
O 0.5000 0.0000 0.5000
F 0.5000 0.5000 0.0000


No. 9
Below is Tb2SeOF2 at its PBEsol-relaxed geometry, with properties calculated at the SCAN level.

Values from the calculation:
Its final energy is -24.869 eV/atom.

a = 13.2698 Å, b = 13.2698 Å, c = 3.7097 Å
α = 90.00°, β = 90.00°, γ = 120.00°
Atoms (fractional coordinates):
Tb 0.0556 0.2891 0.2500
Tb 0.1178 0.6031 0.2500
Tb 0.2336 0.9444 0.2500
Tb 0.2891 0.2336 0.7500
Tb 0.3969 0.5146 0.2500
Tb 0.4854 0.8822 0.2500
Tb 0.5146 0.1178 0.7500
Tb 0.6031 0.4854 0.7500
Tb 0.7109 0.7664 0.2500
Tb 0.7664 0.0556 0.7500
Tb 0.8822 0.3969 0.7500
Tb 0.9444 0.7109 0.7500
Se 0.2064 0.4879 0.7500
Se 0.2815 0.7936 0.7500
Se 0.4879 0.2815 0.2500
Se 0.5121 0.7185 0.7500
Se 0.7185 0.2064 0.2500
Se 0.7936 0.5121 0.2500
O 0.0142 0.5876 0.7500
O 0.4124 0.4266 0.7500
O 0.4266 0.0142 0.2500
O 0.5734 0.9858 0.7500
O 0.5876 0.5734 0.2500
O 0.9858 0.4124 0.2500
F 0.0671 0.7521 0.2500
F 0.1010 0.2076 0.7500
F 0.1066 0.8990 0.7500
F 0.2076 0.1066 0.2500
F 0.2479 0.3150 0.2500
F 0.3150 0.0671 0.7500
F 0.6850 0.9329 0.2500
F 0.7521 0.6850 0.7500
F 0.7924 0.8934 0.7500
F 0.8934 0.1010 0.2500
F 0.8990 0.7924 0.2500
F 0.9329 0.2479 0.7500


No. 10
Below is TiSeOF2 at its PBEsol-relaxed geometry, with properties calculated at the SCAN level.

Values from the calculation:
Its final energy is -11.871 eV/atom.

a = 4.1139 Å, b = 4.1139 Å, c = 3.7977 Å
α = 90.00°, β = 90.00°, γ = 90.00°
Atoms (fractional coordinates):
Ti 0.0000 0.0000 0.0000
Se 0.5000 0.5000 0.5000
O 0.0000 0.0000 0.5000
F 0.0000 0.5000 0.0000
F 0.5000 0.0000 0.0000


No. 11
Below is YSeOF2 at its PBEsol-relaxed geometry, with properties calculated at the SCAN level.

Values from the calculation:
Its final energy is -13.412 eV/atom.

a = 4.6670 Å, b = 4.6670 Å, c = 3.7621 Å
α = 90.00°, β = 90.00°, γ = 90.00°
Atoms (fractional coordinates):
Y 0.0000 0.0000 0.0000
Se 0.5000 0.5000 0.5000
O 0.5000 0.5000 0.0000
F 0.0000 0.5000 0.5000
F 0.5000 0.0000 0.5000


No. 12
Below is TlSiO2F at its PBEsol-relaxed geometry, with properties calculated at the SCAN level.

Values from the calculation:
Its final energy is -21.481 eV/atom.

a = 3.5404 Å, b = 3.5404 Å, c = 4.5388 Å
α = 90.00°, β = 90.00°, γ = 90.00°
Atoms (fractional coordinates):
Tl 0.0000 0.0000 0.0000
Si 0.5000 0.5000 0.5000
O 0.0000 0.5000 0.5000
O 0.5000 0.0000 0.5000
F 0.5000 0.5000 0.0000


No. 13
Below is TlSiO2F at its PBEsol-relaxed geometry, with properties calculated at the SCAN level.

Values from the calculation:
Its final energy is -19.858 eV/atom.

a = 4.2381 Å, b = 4.2381 Å, c = 4.2970 Å
α = 90.00°, β = 90.00°, γ = 90.00°
Atoms (fractional coordinates):
Tl 0.0000 0.0000 0.0000
Si 0.5000 0.5000 0.5000
O 0.0000 0.5000 0.0000
O 0.5000 0.0000 0.0000
F 0.0000 0.0000 0.5000


Sequential V output: 63.9 67.1 52.7 62.6 67.4 251.9 345.9 71.4 565.7 64.3 81.9 56.9 77.2 Å³/cell